(P)
# PBE Hf2Mg2Os, optimized geometry
# **Mass density**: 9.75 g/cm³
data_Hf2Mg2Os
_space_group_name_H-M_alt 'I 4/m m m'
_space_group_IT_number 139
_space_group_name_Hall '-I 4 2'
_cell_length_a 3.812
_cell_length_b 3.812
_cell_length_c 13.972
_cell_angle_alpha 90.00
_cell_angle_beta 90.00
_cell_angle_gamma 90.00
loop_
_atom_site_label
_atom_site_fract_x
_atom_site_fract_y
_atom_site_fract_z
Hf1 0.000 0.500 0.250
Mg1 0.000 0.000 0.087
Os1 0.000 0.000 0.500



(Q)
# PBE Hf2Mg2Os, optimized geometry
# **Mass density**: 10.30 g/cm³
data_Hf2Mg2Os
_space_group_name_H-M_alt 'P 4/m b m'
_space_group_IT_number 127
_space_group_name_Hall '-P 4 2ab'
_cell_length_a 6.801
_cell_length_b 6.801
_cell_length_c 4.154
_cell_angle_alpha 90.00
_cell_angle_beta 90.00
_cell_angle_gamma 90.00
loop_
_atom_site_label
_atom_site_fract_x
_atom_site_fract_y
_atom_site_fract_z
Hf1 0.177 0.323 0.000
Mg1 0.134 0.634 0.500
Os1 0.000 0.000 0.500



It comes down to (Q), which is 44.2 kJ/mol of atoms more stable than the next structure.



(P)
# PBE Hf2MgP, optimized geometry
# **Mass density**: 8.36 g/cm³
data_Hf2MgP
_space_group_name_H-M_alt 'I -4 2 d'
_space_group_IT_number 122
_space_group_name_Hall 'I -4 2bw'
_cell_length_a 7.549
_cell_length_b 7.549
_cell_length_c 5.747
_cell_angle_alpha 90.00
_cell_angle_beta 90.00
_cell_angle_gamma 90.00
loop_
_atom_site_label
_atom_site_fract_x
_atom_site_fract_y
_atom_site_fract_z
Hf1 0.207 0.250 0.125
Mg1 0.000 0.000 0.500
P1 0.000 0.000 0.000



(Q)
# PBE Hf2MgP, optimized geometry
# **Mass density**: 9.23 g/cm³
data_Hf2MgP
_space_group_name_H-M_alt 'F m -3 m'
_space_group_IT_number 225
_space_group_name_Hall '-F 4 2 3'
_cell_length_a 6.670
_cell_length_b 6.670
_cell_length_c 6.670
_cell_angle_alpha 90.00
_cell_angle_beta 90.00
_cell_angle_gamma 90.00
loop_
_atom_site_label
_atom_site_fract_x
_atom_site_fract_y
_atom_site_fract_z
Hf1 0.250 0.250 0.250
Mg1 0.000 0.000 0.000
P1 0.000 0.000 0.500



(R)
# PBE Hf2MgP, optimized geometry
# **Mass density**: 8.00 g/cm³
data_Hf2MgP
_space_group_name_H-M_alt 'R 3 m'
_space_group_IT_number 160
_space_group_name_Hall 'R 3 -2"'
_cell_length_a 3.5269
_cell_length_b 3.5269
_cell_length_c 23.8463
_cell_angle_alpha 90.00
_cell_angle_beta 90.00
_cell_angle_gamma 120.00
loop_
_atom_site_label
_atom_site_fract_x
_atom_site_fract_y
_atom_site_fract_z
Hf1 0.0000 0.0000 0.0000
Hf2 0.0000 0.0000 0.2093
Mg1 0.0000 0.0000 0.7713
P1 0.0000 0.0000 0.6044



(S)
# PBE Hf2MgP, optimized geometry
# **Mass density**: 7.25 g/cm³
data_Hf2MgP
_space_group_name_H-M_alt 'R -3 m'
_space_group_IT_number 166
_space_group_name_Hall '-R 3 2"'
_cell_length_a 3.4567
_cell_length_b 3.4567
_cell_length_c 27.3782
_cell_angle_alpha 90.00
_cell_angle_beta 90.00
_cell_angle_gamma 120.00
loop_
_atom_site_label
_atom_site_fract_x
_atom_site_fract_y
_atom_site_fract_z
Hf1 0.0000 0.0000 0.1116
Mg1 0.0000 0.0000 0.0000
P1 0.0000 0.0000 0.5000



It comes down to (R), which is 29.0 kJ/mol of atoms more stable than the next structure.



(P)
# PBE HfMgP3, optimized geometry
# **Mass density**: 4.90 g/cm³
data_HfMgP3
_space_group_name_H-M_alt 'P m -3 m'
_space_group_IT_number 221
_space_group_name_Hall '-P 4 2 3'
_cell_length_a 4.644
_cell_length_b 4.644
_cell_length_c 4.644
_cell_angle_alpha 90.00
_cell_angle_beta 90.00
_cell_angle_gamma 90.00
loop_
_atom_site_label
_atom_site_fract_x
_atom_site_fract_y
_atom_site_fract_z
Hf1 0.000 0.000 0.000
Mg1 0.500 0.500 0.500
P1 0.000 0.500 0.500



(Q)
# PBE HfMgP3, optimized geometry
# **Mass density**: 4.03 g/cm³
data_HfMgP3
_space_group_name_H-M_alt 'P m -3 m'
_space_group_IT_number 221
_space_group_name_Hall '-P 4 2 3'
_cell_length_a 4.956
_cell_length_b 4.956
_cell_length_c 4.956
_cell_angle_alpha 90.00
_cell_angle_beta 90.00
_cell_angle_gamma 90.00
loop_
_atom_site_label
_atom_site_fract_x
_atom_site_fract_y
_atom_site_fract_z
Hf1 0.000 0.000 0.000
Mg1 0.500 0.500 0.500
P1 0.000 0.000 0.500



It comes down to (Q), which is 54.8 kJ/mol of atoms more stable than the next structure.